The following is a PBE-GGA calculation of a relaxed structure of KTb2CuS4, from Alexandria via LeMat-Bulk.

M_tot	0.000	μB per cell
crystal system	orthorhombic

a = 3.9711 Å, b = 13.5962 Å, c = 13.7710 Å
α = 90.00°, β = 90.00°, γ = 90.00°
Space group Cmcm (No. 63)
Symmetry-distinct sites (fractional):
K: 0.0000 0.1091 0.2500
Tb: 0.0000 0.3657 0.0630
Cu: 0.0000 0.1622 0.7500
S: 0.0000 0.0000 0.0000
S: 0.0000 0.2626 0.6115
S: 0.0000 0.4310 0.2500

The following is a PBE-GGA calculation of a relaxed structure of Te2IrAu, from Alexandria via LeMat-Bulk.

M_tot	0.000	μB per cell
crystal system	tetragonal

a = 5.0258 Å, b = 5.0258 Å, c = 3.2982 Å
α = 90.00°, β = 90.00°, γ = 90.00°
Space group P4/mmm (No. 123)
Symmetry-distinct sites (fractional):
Te: 0.0000 0.5000 0.0000
Ir: 0.0000 0.0000 0.5000
Au: 0.5000 0.5000 0.5000

The following is a PBE-GGA calculation of a relaxed structure of Pm2ErIr, from Alexandria via LeMat-Bulk.

ΔH_f (0 K)	-0.42	eV per atom
M_tot	0.001	μB per cell
crystal system	orthorhombic

a = 6.8230 Å, b = 6.3838 Å, c = 11.5795 Å
α = 90.00°, β = 90.00°, γ = 90.00°
Space group Pnna (No. 52)
Symmetry-distinct sites (fractional):
Pm: 0.0887 0.2482 0.0866
Er: 0.0703 0.2500 0.7500
Ir: 0.2500 0.0000 0.9079

The following is a PBE-GGA calculation of a relaxed structure of BaSrLi2Ag, from Alexandria via LeMat-Bulk.

ΔH_f (0 K)	0.05	eV per atom
M_tot	0.000	μB per cell
crystal system	tetragonal

a = 5.5151 Å, b = 5.5151 Å, c = 5.9537 Å
α = 90.00°, β = 90.00°, γ = 90.00°
Space group P4/mmm (No. 123)
Symmetry-distinct sites (fractional):
Ba: 0.0000 0.0000 0.0000
Sr: 0.5000 0.5000 0.0000
Li: 0.0000 0.5000 0.5000
Ag: 0.5000 0.5000 0.5000

| no. | electronic total energy (eV per cell) |
| --- | --- |
| 1 | -177.22 |
| 2 | -16.42 |
| 3 | -98.35 |
| 4 | -10.04 |